# NaTc3 GGA-PBE optimized geometry
# E_tot = -29.3 eV/f.u.
# symmetry = No. 225
# DOS(E_F) = 5.42 states/eV/f.u.
# crystal system = cubic
data_NaTc3
_space_group_name_H-M_alt 'P 1'
_space_group_IT_number 1
_cell_length_a 4.404
_cell_length_b 4.404
_cell_length_c 4.404
_cell_angle_alpha 60.00
_cell_angle_beta 60.00
_cell_angle_gamma 60.00
loop_
_space_group_symop_operation_xyz
'x,y,z'
loop_
_atom_site_label
_atom_site_type_symbol
_atom_site_fract_x
_atom_site_fract_y
_atom_site_fract_z
_atom_site_occupancy
Tc1 Tc 0.500 0.500 0.500 1
Tc2 Tc 0.750 0.750 0.750 1
Tc3 Tc 0.250 0.250 0.250 1
Na1 Na 0.000 0.000 0.000 1

---

# MnFeBr2 GGA-PBE optimized geometry
# formation energy without anion corrections = 39.1 kJ per mole of atoms
# symmetry = No. 71
# DOS(E_F) = 4.09 states/eV/f.u.
# distance to the lowest polymorph of the same formula = 0.4560 eV/atom
# crystal system = orthorhombic
data_MnFeBr2
_space_group_name_H-M_alt 'P 1'
_space_group_IT_number 1
_cell_length_a 5.406
_cell_length_b 5.406
_cell_length_c 5.406
_cell_angle_alpha 144.17
_cell_angle_beta 110.18
_cell_angle_gamma 81.04
loop_
_space_group_symop_operation_xyz
'x,y,z'
loop_
_atom_site_label
_atom_site_type_symbol
_atom_site_fract_x
_atom_site_fract_y
_atom_site_fract_z
_atom_site_occupancy
Fe1 Fe 0.750 0.250 0.500 1
Br1 Br 0.990 0.990 0.000 1
Br2 Br 0.510 0.510 0.000 1
Mn1 Mn 0.250 0.750 0.500 1